Material: Pr3TmTh
Method: DFT, GGA-PBE
State: relaxed

Cell lengths 6.335, 5.927, 9.727 Å; angles 90.00, 108.90, 90.00 degrees
Element x y z (fractional)
Pr (0.148, 0.250, 0.096)
Pr (0.268, 0.750, 0.712)
Pr (0.331, 0.250, 0.508)
Pr (0.669, 0.750, 0.492)
Pr (0.732, 0.250, 0.288)
Pr (0.852, 0.750, 0.904)
Tm (0.071, 0.750, 0.299)
Tm (0.929, 0.250, 0.701)
Th (0.477, 0.750, 0.101)
Th (0.523, 0.250, 0.899)

The space group is P2_1/m (11). The density of states at the Fermi level is 1.639 states/eV per atom. The value obtained for the total DFT energy (no corrections) is -5.186 eV per atom. For the formation enthalpy at 0 K, the calculation gives 1.4 kcal/mol of atoms. For the total magnetization, the calculation gives 0.0 μB/f.u. The value obtained for the theoretical density is 7.919 Mg/m³.

Material: Pr4TmTh
Method: DFT, GGA-PBE
State: relaxed

Cell lengths 3.647, 6.331, 9.658 Å; angles 77.06, 79.26, 73.69 degrees
Element x y z (fractional)
Pr (0.162, 0.008, 0.170)
Pr (0.164, 0.506, 0.666)
Pr (0.836, 0.494, 0.334)
Pr (0.838, 0.992, 0.830)
Tm (0.500, 0.500, 0.000)
Th (0.500, 0.000, 0.500)

The space group is P-1 (2). The density of states at the Fermi level is 1.476 states/eV per atom. The value obtained for the total DFT energy (no corrections) is -5.123 eV per atom. For the formation enthalpy at 0 K, the calculation gives 1.0 kcal/mol of atoms. For the total magnetization, the calculation gives 0.0 μB/f.u. The value obtained for the theoretical density is 7.745 Mg/m³.

Material: Pr4TmTh2
Method: DFT, GGA-PBE
State: relaxed

Cell lengths 20.977, 20.977, 20.977 Å; angles 9.94, 9.94, 9.94 degrees
Element x y z (fractional)
Pr (0.096, 0.096, 0.096)
Pr (0.380, 0.380, 0.380)
Pr (0.620, 0.620, 0.620)
Pr (0.904, 0.904, 0.904)
Tm (0.000, 0.000, 0.000)
Th (0.189, 0.189, 0.189)
Th (0.811, 0.811, 0.811)

The space group is R-3m (166). The density of states at the Fermi level is 1.454 states/eV per atom. The value obtained for the total DFT energy (no corrections) is -5.447 eV per atom. For the formation enthalpy at 0 K, the calculation gives 1.0 kcal/mol of atoms. For the total magnetization, the calculation gives 0.0 μB/f.u. The value obtained for the theoretical density is 8.315 Mg/m³.

Material: Pr6Tm2Th
Method: DFT, GGA-PBE
State: relaxed

Cell lengths 6.302, 9.959, 11.584 Å; angles 90.00, 120.95, 90.00 degrees
Element x y z (fractional)
Pr (0.062, 0.113, 0.192)
Pr (0.062, 0.387, 0.692)
Pr (0.273, 0.726, 0.655)
Pr (0.273, 0.774, 0.155)
Pr (0.371, 0.148, 0.013)
Pr (0.371, 0.352, 0.513)
Pr (0.629, 0.648, 0.487)
Pr (0.629, 0.852, 0.987)
Pr (0.727, 0.226, 0.845)
Pr (0.727, 0.274, 0.345)
Pr (0.938, 0.613, 0.308)
Pr (0.938, 0.887, 0.808)
Tm (0.155, 0.073, 0.650)
Tm (0.155, 0.427, 0.150)
Tm (0.845, 0.573, 0.850)
Tm (0.845, 0.927, 0.350)
Th (0.500, 0.000, 0.500)
Th (0.500, 0.500, 0.000)

The space group is P2_1/c (14). The density of states at the Fermi level is 1.454 states/eV per atom. The value obtained for the total DFT energy (no corrections) is -4.859 eV per atom. For the formation enthalpy at 0 K, the calculation gives 3.4 kcal/mol of atoms. For the total magnetization, the calculation gives 0.0 μB/f.u. The value obtained for the theoretical density is 7.539 Mg/m³.

Material: Pr5Tm6Th
Method: DFT, GGA-PBE
State: relaxed

Cell lengths 6.245, 6.245, 11.743 Å; angles 95.10, 95.10, 119.98 degrees
Element x y z (fractional)
Pr (0.000, 0.000, 0.000)
Pr (0.167, 0.833, 0.500)
Pr (0.333, 0.667, 0.000)
Pr (0.667, 0.333, 0.000)
Pr (0.833, 0.167, 0.500)
Tm (0.088, 0.418, 0.252)
Tm (0.253, 0.253, 0.748)
Tm (0.418, 0.088, 0.252)
Tm (0.582, 0.912, 0.748)
Tm (0.747, 0.747, 0.252)
Tm (0.912, 0.582, 0.748)
Th (0.500, 0.500, 0.500)

The space group is C2/m (12). The density of states at the Fermi level is 1.166 states/eV per atom. The value obtained for the total DFT energy (no corrections) is -4.816 eV per atom. For the formation enthalpy at 0 K, the calculation gives 0.7 kcal/mol of atoms. For the total magnetization, the calculation gives 0.0 μB/f.u. The value obtained for the theoretical density is 8.296 Mg/m³.

Material: Pr5Tm4Th2
Method: DFT, GGA-PBE
State: relaxed

Cell lengths 14.811, 14.811, 14.811 Å; angles 166.35, 149.81, 33.26 degrees
Element x y z (fractional)
Pr (0.000, 0.000, 0.000)
Pr (0.064, 0.305, 0.758)
Pr (0.453, 0.695, 0.758)
Pr (0.547, 0.305, 0.242)
Pr (0.936, 0.695, 0.242)
Tm (0.322, 0.500, 0.822)
Tm (0.402, 0.902, 0.500)
Tm (0.598, 0.098, 0.500)
Tm (0.678, 0.500, 0.178)
Th (0.101, 0.601, 0.500)
Th (0.899, 0.399, 0.500)

The space group is Immm (71). The density of states at the Fermi level is 1.590 states/eV per atom. The value obtained for the total DFT energy (no corrections) is -4.753 eV per atom. For the formation enthalpy at 0 K, the calculation gives 9.1 kcal/mol of atoms. For the total magnetization, the calculation gives 0.0 μB/f.u. The value obtained for the theoretical density is 7.950 Mg/m³.

Material: PrTmTh2
Method: DFT, GGA-PBE
State: relaxed

Cell lengths 3.588, 3.588, 20.375 Å; angles 90.00, 90.02, 90.00 degrees
Element x y z (fractional)
Pr (0.249, 0.250, 0.072)
Pr (0.751, 0.750, 0.928)
Tm (0.249, 0.250, 0.316)
Tm (0.751, 0.750, 0.684)
Th (0.250, 0.250, 0.561)
Th (0.251, 0.250, 0.804)
Th (0.749, 0.750, 0.196)
Th (0.750, 0.750, 0.439)

The space group is P2_1/m (11). The density of states at the Fermi level is 1.459 states/eV per atom. The value obtained for the total DFT energy (no corrections) is -5.974 eV per atom. For the formation enthalpy at 0 K, the calculation gives 1.1 kcal/mol of atoms. For the total magnetization, the calculation gives 0.0 μB/f.u. The value obtained for the theoretical density is 9.799 Mg/m³.

Material: PrTm10Th4
Method: DFT, GGA-PBE
State: relaxed

Cell lengths 8.693, 8.693, 8.693 Å; angles 113.74, 113.74, 101.24 degrees
Element x y z (fractional)
Pr (0.000, 0.000, 0.000)
Tm (0.040, 0.945, 0.654)
Tm (0.055, 0.709, 0.096)
Tm (0.250, 0.750, 0.500)
Tm (0.291, 0.386, 0.346)
Tm (0.386, 0.040, 0.096)
Tm (0.614, 0.960, 0.904)
Tm (0.709, 0.614, 0.654)
Tm (0.750, 0.250, 0.500)
Tm (0.945, 0.291, 0.904)
Tm (0.960, 0.055, 0.346)
Th (0.202, 0.545, 0.747)
Th (0.455, 0.202, 0.657)
Th (0.545, 0.798, 0.343)
Th (0.798, 0.455, 0.253)

The space group is I4/m (87). The density of states at the Fermi level is 1.358 states/eV per atom. The value obtained for the total DFT energy (no corrections) is -4.766 eV per atom. For the formation enthalpy at 0 K, the calculation gives 11.8 kcal/mol of atoms. For the total magnetization, the calculation gives 0.0 μB/f.u. The value obtained for the theoretical density is 9.197 Mg/m³.

Material: PrTm3Th
Method: DFT, GGA-PBE
State: relaxed

Cell lengths 6.493, 6.493, 8.876 Å; angles 105.11, 105.11, 64.71 degrees
Element x y z (fractional)
Pr (0.148, 0.148, 0.106)
Pr (0.852, 0.852, 0.894)
Tm (0.201, 0.695, 0.294)
Tm (0.248, 0.248, 0.507)
Tm (0.305, 0.799, 0.706)
Tm (0.695, 0.201, 0.294)
Tm (0.752, 0.752, 0.493)
Tm (0.799, 0.305, 0.706)
Th (0.352, 0.352, 0.908)
Th (0.648, 0.648, 0.092)

The space group is C2/m (12). The density of states at the Fermi level is 1.813 states/eV per atom. The value obtained for the total DFT energy (no corrections) is -5.010 eV per atom. For the formation enthalpy at 0 K, the calculation gives 2.6 kcal/mol of atoms. For the total magnetization, the calculation gives 0.0 μB/f.u. The value obtained for the theoretical density is 9.078 Mg/m³.

Material: Pr8Tm2Th
Method: DFT, GGA-PBE
State: relaxed

Cell lengths 8.636, 8.636, 5.487 Å; angles 90.00, 90.00, 105.09 degrees
Element x y z (fractional)
Pr (0.169, 0.169, 0.000)
Pr (0.202, 0.465, 0.500)
Pr (0.248, 0.752, 0.000)
Pr (0.465, 0.202, 0.500)
Pr (0.535, 0.798, 0.500)
Pr (0.752, 0.248, 0.000)
Pr (0.798, 0.535, 0.500)
Pr (0.831, 0.831, 0.000)
Tm (0.119, 0.881, 0.500)
Tm (0.881, 0.119, 0.500)
Th (0.500, 0.500, 0.000)

The space group is Cmmm (65). The density of states at the Fermi level is 1.676 states/eV per atom. The value obtained for the total DFT energy (no corrections) is -4.804 eV per atom. For the formation enthalpy at 0 K, the calculation gives 3.7 kcal/mol of atoms. For the total magnetization, the calculation gives 0.0 μB/f.u. The value obtained for the theoretical density is 7.132 Mg/m³.

- Look up the total magnetization of the ninth one.
  0.0 μB/f.u.